Here is LiReMo2Pb after structural relaxation from Alexandria via LeMat-Bulk. Energies are from GGA-PBE.

Output
* N(E_F): 6.4 states/eV/f.u.
* calculated total energy: -32.697 eV/cell
* formation energy: 1407 meV per atom
* volume: 16.311 Å³/atom

Cell: 4.3400 4.3400 4.3299 Å, 90.00 90.00 90.00°
Space group P4/mmm (No. 123)
Unique sites:
Li: 0.0000 0.0000 0.0000 x1
Re: 0.0000 0.0000 0.5000 x1
Mo: 0.0000 0.5000 0.0000 x2
Pb: 0.5000 0.5000 0.5000 x1

=====

Here is LiMoRhPb2 after structural relaxation from Alexandria via LeMat-Bulk. Energies are from GGA-PBE.

Output
* N(E_F): 5.6 states/eV/f.u.
* calculated total energy: -21.385 eV/cell
* formation energy: 1226 meV per atom
* volume: 26.349 Å³/atom

Cell: 5.2785 5.2785 4.7284 Å, 90.00 90.00 90.00°
Space group P4/mmm (No. 123)
Unique sites:
Li: 0.0000 0.0000 0.0000 x1
Mo: 0.0000 0.0000 0.5000 x1
Rh: 0.5000 0.5000 0.0000 x1
Pb: 0.0000 0.5000 0.5000 x2

=====

Here is LiMo2PbW after structural relaxation from Alexandria via LeMat-Bulk. Energies are from GGA-PBE.

Output
* N(E_F): 6.3 states/eV/f.u.
* calculated total energy: -33.174 eV/cell
* formation energy: 1413 meV per atom
* volume: 16.610 Å³/atom

Cell: 4.3626 4.3626 4.3637 Å, 90.00 90.00 90.00°
Space group P4/mmm (No. 123)
Unique sites:
Li: 0.0000 0.0000 0.0000 x1
Mo: 0.0000 0.5000 0.0000 x2
Pb: 0.5000 0.5000 0.5000 x1
W: 0.0000 0.0000 0.5000 x1